1.
## Ba4GeSb (PBE)

Data for a geometry-optimized Ba4GeSb structure.

The structure in CIF format:
```
data_Ba4GeSb
_space_group_name_H-M_alt 'P n m a'
_space_group_IT_number 62
_cell_length_a 9.252
_cell_length_b 5.247
_cell_length_c 20.664
_cell_angle_alpha 90.00
_cell_angle_beta 90.00
_cell_angle_gamma 90.00
loop_
_space_group_symop_operation_xyz
'x,y,z'
'-x,-y,-z'
'-x+1/2,-y,z+1/2'
'x+1/2,y,-z+1/2'
'x+1/2,-y+1/2,-z+1/2'
'-x+1/2,y+1/2,z+1/2'
'-x,y+1/2,-z'
'x,-y+1/2,z'
loop_
_atom_site_label
_atom_site_fract_x
_atom_site_fract_y
_atom_site_fract_z
Ba1 0.023 0.250 0.217
Ba2 0.025 0.250 0.935
Ba3 0.135 0.250 0.648
Ba4 0.141 0.250 0.440
Ge1 0.250 0.250 0.061
Sb1 0.229 0.750 0.306
```

Output
Its magnetization is 0.92 μB per formula unit. Its total energy is -3.389 eV/atom. For the raw formation energy, the calculation gives -62.8 kJ/mol of atoms.

=====

2.
## CsHg6F12 (PBE)

Data for a geometry-optimized CsHg6F12 structure.

The structure in CIF format:
```
data_CsHg6F12
_space_group_name_H-M_alt 'R -3 m'
_space_group_IT_number 166
_space_group_name_Hall '-R 3 2"'
_cell_length_a 11.9337
_cell_length_b 11.9337
_cell_length_c 7.7419
_cell_angle_alpha 90.00
_cell_angle_beta 90.00
_cell_angle_gamma 120.00
loop_
_atom_site_label
_atom_site_fract_x
_atom_site_fract_y
_atom_site_fract_z
Cs1 0.0000 0.0000 0.0000
Hg1 0.0585 0.5292 0.2709
F1 0.0000 0.3824 0.5000
F2 0.0908 0.1815 0.3380
```

Output
Its magnetization is 0.00 μB per formula unit. Its total energy is -2.774 eV/atom. For the raw formation energy, the calculation gives -140.1 kJ/mol of atoms.

=====

3.
## LiCrCl2 (PBE)

Data for a geometry-optimized LiCrCl2 structure.

The structure in CIF format:
```
data_LiCrCl2
_space_group_name_H-M_alt 'C m m m'
_space_group_IT_number 65
_space_group_name_Hall '-C 2 2'
_cell_length_a 3.592
_cell_length_b 6.955
_cell_length_c 7.109
_cell_angle_alpha 90.00
_cell_angle_beta 90.00
_cell_angle_gamma 90.00
loop_
_atom_site_label
_atom_site_fract_x
_atom_site_fract_y
_atom_site_fract_z
Li1 0.000 0.000 0.000
Cr1 0.000 0.000 0.500
Cl1 0.000 0.500 0.238
```

Output
Its magnetization is 4.96 μB per formula unit. Its total energy is -4.604 eV/atom. For the raw formation energy, the calculation gives -76.9 kJ/mol of atoms.

=====

Which of these has the lowest raw formation energy? CsHg6F12